Hf2TlCuW | PBE | optimized geometry

a = 5.2339 Å, b = 5.2339 Å, c = 5.0390 Å
α = 90.00°, β = 90.00°, γ = 90.00°
Fractional positions:
Hf1 0.0000 0.5000 0.0000
Hf2 0.5000 0.0000 0.0000
Tl1 0.0000 0.0000 0.0000
Cu1 0.5000 0.5000 0.5000
W1 0.0000 0.0000 0.5000

The value obtained for the mass density is 9.73 Mg/m³. The value obtained for the formation energy from the elements is 2.21 eV per atom. The density of states at the Fermi level is 5.23 states/eV per cell. The energy is -0.2080 Ha/atom. The total magnetization comes out at 1.51 μB per cell.

Y5W | PBE | optimized geometry

a = 6.6972 Å, b = 6.6972 Å, c = 7.5315 Å
α = 106.89°, β = 106.89°, γ = 32.63°
Fractional positions:
Y1 0.0000 0.0000 0.0000
Y2 0.0095 0.0095 0.5847
Y3 0.3575 0.3575 0.2537
Y4 0.6893 0.6893 0.4095
Y5 0.7263 0.7263 0.8608
W1 0.3518 0.3518 0.6686

The value obtained for the mass density is 6.01 Mg/m³. The value obtained for the formation energy from the elements is 0.27 eV per atom. The density of states at the Fermi level is 7.57 states/eV per cell. The calculation puts the distance to the lowest polymorph of the same formula at 0.0 meV/atom. The energy is -0.2675 Ha/atom. The total magnetization comes out at 0.00 μB per cell.